Entry 1:
Density functional theory data (GGA-PBE) for Sc2TlSb after structural relaxation. Values from VASP.

Cell and atoms, written as Quantum ESPRESSO input:
```
&SYSTEM
  ibrav = 0, nat = 4, ntyp = 3
/
ATOMIC_SPECIES
Sb 121.76 Sb.upf
Sc 44.96 Sc.upf
Tl 204.38 Tl.upf
ATOMIC_POSITIONS crystal
Sb 0.5000 0.5000 0.5000
Sc 0.1039 0.1039 0.1039
Sc 0.8961 0.8961 0.8961
Tl 0.0000 0.0000 0.0000
CELL_PARAMETERS angstrom
-9.6641 2.0041 0.0617
-8.5297 3.7609 3.2425
-8.1888 5.5084 -0.1221
```

ΔE to the lowest computed polymorph in meV per atom: 369
Calculated volume in Å³/cell: 121
ΔE_f (raw) in eV/atom: -0.150
Fermi-level density of states in states/eV/f.u.: 3.1



Entry 2:
Density functional theory data (GGA-PBE) for SmDyEr after structural relaxation. Values from VASP.

Cell and atoms, written as Quantum ESPRESSO input:
```
&SYSTEM
  ibrav = 0, nat = 3, ntyp = 3
/
ATOMIC_SPECIES
Er 167.26 Er.upf
Dy 162.50 Dy.upf
Sm 150.36 Sm.upf
ATOMIC_POSITIONS crystal
Er 0.2099 0.5160 0.1043
Dy 0.7633 0.7397 0.7775
Sm 0.6497 0.2964 0.4408
CELL_PARAMETERS angstrom
-1.5140 -2.8981 1.4802
-2.1287 -2.1229 -1.9671
6.5041 -5.9662 -0.6323
```

ΔE to the lowest computed polymorph in meV per atom: 16
Calculated volume in Å³/cell: 96
ΔH_f (0 K) in kJ/mol of formula units: 3
Fermi-level density of states in states/eV/f.u.: 3.8



Entry 3:
Density functional theory data (GGA-PBE) for Be3VIn after structural relaxation. Values from VASP.

Cell and atoms, written as Quantum ESPRESSO input:
```
&SYSTEM
  ibrav = 0, nat = 5, ntyp = 3
/
ATOMIC_SPECIES
Be 9.01 Be.upf
In 114.82 In.upf
V 50.94 V.upf
ATOMIC_POSITIONS crystal
Be 0.0000 0.5000 0.0000
Be 0.0000 0.0000 0.5000
In 0.0000 0.0000 0.0000
V 0.5000 0.5000 0.5000
Be 0.5000 0.0000 0.0000
CELL_PARAMETERS angstrom
4.4150 0.0000 0.0000
0.0000 4.4150 0.0000
0.0000 0.0000 4.4150
```

ΔE to the lowest computed polymorph in meV per atom: 182
Calculated volume in Å³/cell: 86
ΔH_f (0 K) in kJ/mol of formula units: 693
Fermi-level density of states in states/eV/f.u.: 5.8



Entry 4:
Density functional theory data (GGA-PBE) for BaTiN2 after structural relaxation. Values from VASP.

Cell and atoms, written as Quantum ESPRESSO input:
```
&SYSTEM
  ibrav = 0, nat = 8, ntyp = 3
/
ATOMIC_SPECIES
N 14.01 N.upf
Ti 47.87 Ti.upf
Ba 137.33 Ba.upf
ATOMIC_POSITIONS crystal
N 0.8750 0.7541 0.7500
Ti 0.5000 0.5000 0.0000
N 0.5041 0.1250 0.2500
N 0.3750 0.4959 0.7500
Ba 0.0000 0.0000 0.0000
Ti 0.2500 0.7500 0.5000
N 0.2459 0.6250 0.2500
Ba 0.7500 0.2500 0.5000
CELL_PARAMETERS angstrom
5.8240 0.0000 0.0000
0.0000 5.8240 0.0000
2.9120 2.9120 4.1277
```

Calculated volume in Å³/cell: 140
ΔE_f (raw) in eV/atom: -1.203
Fermi-level density of states in states/eV/f.u.: 0.0



Entry 5:
Density functional theory data (GGA-PBE) for LiScInPb after structural relaxation. Values from VASP.

Cell and atoms, written as Quantum ESPRESSO input:
```
&SYSTEM
  ibrav = 0, nat = 4, ntyp = 4
/
ATOMIC_SPECIES
Pb 207.20 Pb.upf
Li 6.94 Li.upf
Sc 44.96 Sc.upf
In 114.82 In.upf
ATOMIC_POSITIONS crystal
Pb 0.5000 0.0000 0.5000
Li 0.0000 0.0000 0.0000
Sc 0.0000 0.5000 0.5000
In 0.5000 0.5000 0.0000
CELL_PARAMETERS angstrom
-1.2971 3.5413 1.9372
-4.2867 -0.9455 -1.1419
-0.5311 -2.3492 3.9389
```

ΔE to the lowest computed polymorph in meV per atom: 0
Calculated volume in Å³/cell: 89
ΔH_f (0 K) in kJ/mol of formula units: -135
Fermi-level density of states in states/eV/f.u.: 1.4



Entry 6:
Density functional theory data (GGA-PBE) for ScTaTe2 after structural relaxation. Values from VASP.

Cell and atoms, written as Quantum ESPRESSO input:
```
&SYSTEM
  ibrav = 0, nat = 4, ntyp = 3
/
ATOMIC_SPECIES
Te 127.60 Te.upf
Sc 44.96 Sc.upf
Ta 180.95 Ta.upf
ATOMIC_POSITIONS crystal
Te 0.0000 0.0115 0.9886
Te 0.0000 0.4885 0.5114
Sc 0.5000 0.2500 0.2500
Ta 0.5000 0.7500 0.7500
CELL_PARAMETERS angstrom
3.4782 0.0000 0.0000
0.0000 3.4206 0.6427
0.0000 2.1093 7.6134
```

ΔE to the lowest computed polymorph in meV per atom: 187
Calculated volume in Å³/cell: 86
ΔE_f (raw) in eV/atom: -0.353
Fermi-level density of states in states/eV/f.u.: 2.2



Entry 7:
Density functional theory data (GGA-PBE) for HfTaAl2H after structural relaxation. Values from VASP.

Cell and atoms, written as Quantum ESPRESSO input:
```
&SYSTEM
  ibrav = 0, nat = 5, ntyp = 4
/
ATOMIC_SPECIES
Hf 178.49 Hf.upf
H 1.01 H.upf
Al 26.98 Al.upf
Ta 180.95 Ta.upf
ATOMIC_POSITIONS crystal
Hf 0.5000 0.5000 0.5000
H 0.0000 0.0000 0.0000
Al 0.0000 0.5000 0.0000
Al 0.5000 0.0000 0.0000
Ta 0.0000 0.0000 0.5000
CELL_PARAMETERS angstrom
-3.4212 -0.1621 -2.4730
-2.1906 -1.7736 3.1468
-1.1187 3.6975 1.3052
```

E_tot in eV/atom: -6.673
Calculated volume in Å³/cell: 73
Fermi-level density of states in states/eV/f.u.: 1.4



Entry 8:
Density functional theory data (GGA-PBE) for Pm2YMg3 after structural relaxation. Values from VASP.

Cell and atoms, written as Quantum ESPRESSO input:
```
&SYSTEM
  ibrav = 0, nat = 6, ntyp = 3
/
ATOMIC_SPECIES
Pm 145.00 Pm.upf
Mg 24.30 Mg.upf
Y 88.91 Y.upf
ATOMIC_POSITIONS crystal
Pm 0.5000 0.5000 0.8313
Mg 0.0000 0.0000 0.3384
Y 0.5000 0.5000 0.5000
Pm 0.5000 0.5000 0.1687
Mg 0.0000 0.0000 0.6616
Mg 0.0000 0.0000 0.0000
CELL_PARAMETERS angstrom
-0.8282 -0.8916 -3.6408
-2.3286 -2.7995 1.2153
-8.8433 7.4384 0.1902
```

Calculated volume in Å³/cell: 170
ΔH_f (0 K) in kJ/mol of formula units: -61
Fermi-level density of states in states/eV/f.u.: 7.5



Entry 9:
Density functional theory data (GGA-PBE) for RbBa2Ge after structural relaxation. Values from VASP.

Cell and atoms, written as Quantum ESPRESSO input:
```
&SYSTEM
  ibrav = 0, nat = 8, ntyp = 3
/
ATOMIC_SPECIES
Ba 137.33 Ba.upf
Rb 85.47 Rb.upf
Ge 72.64 Ge.upf
ATOMIC_POSITIONS crystal
Ba 0.2206 0.6250 0.2500
Ba 0.3750 0.4706 0.7500
Rb 0.7500 0.2500 0.5000
Ba 0.5294 0.1250 0.2500
Ge 0.2500 0.7500 0.5000
Ge 0.5000 0.5000 0.0000
Ba 0.8750 0.7794 0.7500
Rb 0.0000 0.0000 0.0000
CELL_PARAMETERS angstrom
10.4673 0.0000 0.0000
0.0000 10.4673 0.0000
5.2337 5.2337 4.0499
```

ΔE to the lowest computed polymorph in meV per atom: 177
Calculated volume in Å³/cell: 444
ΔH_f (0 K) in kJ/mol of formula units: -20
Fermi-level density of states in states/eV/f.u.: 2.5



Entry 10:
Density functional theory data (GGA-PBE) for GeRhClO2 after structural relaxation. Values from VASP.

Cell and atoms, written as Quantum ESPRESSO input:
```
&SYSTEM
  ibrav = 0, nat = 5, ntyp = 4
/
ATOMIC_SPECIES
O 16.00 O.upf
Rh 102.91 Rh.upf
Ge 72.64 Ge.upf
Cl 35.45 Cl.upf
ATOMIC_POSITIONS crystal
O 0.0000 0.0000 0.5000
O 0.5000 0.0000 0.0000
Rh 0.0000 0.5000 0.0000
Ge 0.0000 0.0000 0.0000
Cl 0.5000 0.5000 0.5000
CELL_PARAMETERS angstrom
3.5739 0.0000 0.0000
0.0000 5.7686 0.0000
0.0000 0.0000 3.5739
```

Calculated volume in Å³/cell: 74
ΔE_f (raw) in eV/atom: -0.278
Fermi-level density of states in states/eV/f.u.: 5.5



Please write out number 9 again, unchanged.
Density functional theory data (GGA-PBE) for RbBa2Ge after structural relaxation. Values from VASP.

Cell and atoms, written as Quantum ESPRESSO input:
```
&SYSTEM
  ibrav = 0, nat = 8, ntyp = 3
/
ATOMIC_SPECIES
Ba 137.33 Ba.upf
Rb 85.47 Rb.upf
Ge 72.64 Ge.upf
ATOMIC_POSITIONS crystal
Ba 0.2206 0.6250 0.2500
Ba 0.3750 0.4706 0.7500
Rb 0.7500 0.2500 0.5000
Ba 0.5294 0.1250 0.2500
Ge 0.2500 0.7500 0.5000
Ge 0.5000 0.5000 0.0000
Ba 0.8750 0.7794 0.7500
Rb 0.0000 0.0000 0.0000
CELL_PARAMETERS angstrom
10.4673 0.0000 0.0000
0.0000 10.4673 0.0000
5.2337 5.2337 4.0499
```

ΔE to the lowest computed polymorph in meV per atom: 177
Calculated volume in Å³/cell: 444
ΔH_f (0 K) in kJ/mol of formula units: -20
Fermi-level density of states in states/eV/f.u.: 2.5